LiTbTiAl | PBE | relaxed

Cell lengths 4.8371, 4.8371, 4.8371 Å; angles 60.00, 60.00, 60.00 degrees
With the nearest neighbours (Å) after each atom.
Fractional positions:
Al 0.0000 0.0000 0.0000  4 Tb 2.96, 4 Ti 2.96
Tb 0.7500 0.7500 0.7500  4 Li 2.96, 4 Al 2.96
Li 0.5000 0.5000 0.5000  4 Tb 2.96, 4 Ti 2.96
Ti 0.2500 0.2500 0.2500  4 Li 2.96, 4 Al 2.96

Calculated values
crystal system	cubic
magnetic moment	0.005	μB per cell
D(E_F)	0.857	states/eV/atom
energy of formation from the pure elements	-0.03	eV per atom